Material: K3Rb11
Method: DFT, PBE-GGA
State: optimized geometry

abc: 7.8898 13.6420 13.6420
angles: 105.45 73.19 73.19
Sites, in units of the cell vectors:
K: 0.0000 0.0000 0.0000
K: 0.6895 0.3105 0.3105
K: 0.3105 0.6895 0.6895
Rb: 0.0000 0.5000 0.5000
Rb: 0.5000 0.3224 0.6776
Rb: 0.5000 0.6776 0.3224
Rb: 0.6657 0.9369 0.7317
Rb: 0.3343 0.0631 0.2683
Rb: 0.6657 0.7317 0.9369
Rb: 0.3343 0.2683 0.0631
Rb: 0.8433 0.9411 0.3724
Rb: 0.1567 0.0589 0.6276
Rb: 0.8433 0.3724 0.9411
Rb: 0.1567 0.6276 0.0589

Summary:
E_tot = -0.97 eV/atom
energy of formation from the pure elements = 0.025 eV/atom